(1)
VASP calculation (PBE) on a relaxed CsScPa crystal.

Lattice parameters (Å, degrees): 5.1495 5.1495 5.1495 60.00 60.00 60.00
Atoms (fractional coordinates):
Cs (0.0000, 0.0000, 0.0000)
Pa (0.2500, 0.2500, 0.2500)
Sc (0.7500, 0.7500, 0.7500)

## Properties
total energy = -3.64 eV per atom
energy relative to the lowest polymorph listed for this composition = 107 meV per atom

***

(2)
VASP calculation (PBE) on a relaxed LiPr3F crystal.

Lattice parameters (Å, degrees): 5.0631 5.0631 5.0631 90.00 90.00 90.00
Atoms (fractional coordinates):
F (0.0000, 0.0000, 0.0000)
Li (0.5000, 0.5000, 0.5000)
Pr (0.5000, 0.0000, 0.0000)
Pr (0.0000, 0.5000, 0.0000)
Pr (0.0000, 0.0000, 0.5000)

## Properties
total energy = -4.46 eV per atom

***

(3)
VASP calculation (PBE) on a relaxed Pr2Nd2CIBr2Cl2 crystal.

Lattice parameters (Å, degrees): 9.3933 9.3933 8.8623 103.77 103.77 24.66
Atoms (fractional coordinates):
Br (0.8284, 0.8284, 0.1544)
Br (0.1716, 0.1716, 0.8456)
C (0.5000, 0.5000, 0.0000)
Cl (0.1610, 0.1610, 0.3083)
Cl (0.8390, 0.8390, 0.6917)
I (0.5000, 0.5000, 0.5000)
Nd (0.6414, 0.6414, 0.0771)
Nd (0.3586, 0.3586, 0.9229)
Pr (0.9996, 0.9996, 0.1966)
Pr (0.0004, 0.0004, 0.8034)

## Properties
total energy = -5.16 eV per atom
energy relative to the lowest polymorph listed for this composition = 1 meV per atom

***

(4)
VASP calculation (PBE) on a relaxed Lu4Ta2Fe3C3 crystal.

Lattice parameters (Å, degrees): 5.7574 5.7574 14.2324 102.11 102.11 60.07
Atoms (fractional coordinates):
C (0.6544, 0.1905, 0.0000)
C (0.0000, 0.5000, 0.0000)
C (0.3456, 0.8095, 0.0000)
C (0.8095, 0.3456, 0.5000)
C (0.5000, 0.0000, 0.5000)
C (0.1905, 0.6544, 0.5000)
Fe (0.1798, 0.5900, 0.2500)
Fe (0.6382, 0.3618, 0.2500)
Fe (0.4100, 0.8202, 0.2500)
Fe (0.5900, 0.1798, 0.7500)
Fe (0.3618, 0.6382, 0.7500)
Fe (0.8202, 0.4100, 0.7500)
Lu (0.0441, 0.1936, 0.1061)
Lu (0.7016, 0.8799, 0.1066)
Lu (0.1201, 0.2984, 0.3934)
Lu (0.8064, 0.9559, 0.3939)
Lu (0.1936, 0.0441, 0.6061)
Lu (0.8799, 0.7016, 0.6066)
Lu (0.2984, 0.1201, 0.8934)
Lu (0.9559, 0.8064, 0.8939)
Ta (0.3472, 0.5270, 0.0772)
Ta (0.4730, 0.6528, 0.4228)
Ta (0.5270, 0.3472, 0.5772)
Ta (0.6528, 0.4730, 0.9228)

## Properties
total energy = -8.07 eV per atom

***

(5)
VASP calculation (PBE) on a relaxed ErTm2Sn3Pt3 crystal.

Lattice parameters (Å, degrees): 3.9881 7.4714 7.4714 120.07 90.00 90.00
Atoms (fractional coordinates):
Er (0.0000, 0.4054, 0.4054)
Pt (0.5000, 0.6675, 0.3331)
Pt (0.5000, 0.3331, 0.6675)
Pt (0.0000, 0.9994, 0.9994)
Sn (0.5000, 0.9998, 0.2600)
Sn (0.5000, 0.7400, 0.7400)
Sn (0.5000, 0.2600, 0.9998)
Tm (0.0000, 0.5949, 0.0000)
Tm (0.0000, 0.0000, 0.5949)

## Properties
total energy = -5.95 eV per atom

***

(6)
VASP calculation (PBE) on a relaxed Li5PaO5 crystal.

Lattice parameters (Å, degrees): 5.5222 5.5222 6.1139 108.76 108.76 46.82
Atoms (fractional coordinates):
Li (0.3103, 0.3103, 0.1442)
Li (0.7169, 0.7169, 0.3472)
Li (0.0000, 0.0000, 0.5000)
Li (0.2831, 0.2831, 0.6528)
Li (0.6897, 0.6897, 0.8558)
O (0.5000, 0.5000, 0.0000)
O (0.8487, 0.8487, 0.1838)
O (0.1727, 0.1727, 0.3279)
O (0.8273, 0.8273, 0.6720)
O (0.1513, 0.1513, 0.8162)
Pa (0.0000, 0.0000, 0.0000)

## Properties
total energy = -6.23 eV per atom

***

(7)
VASP calculation (PBE) on a relaxed Dy2Ga2Ni3Pt crystal.

Lattice parameters (Å, degrees): 4.2181 4.2181 8.8905 90.00 90.00 120.00
Atoms (fractional coordinates):
Dy (0.3333, 0.6667, 0.2558)
Dy (0.0000, 0.0000, 0.7461)
Ga (0.6667, 0.3333, 0.5038)
Ga (0.6667, 0.3333, 0.9865)
Ni (0.0000, 0.0000, 0.4393)
Ni (0.3333, 0.6667, 0.5674)
Ni (0.3333, 0.6667, 0.9231)
Pt (0.0000, 0.0000, 0.0779)

## Properties
total energy = -5.44 eV per atom

***

(8)
VASP calculation (PBE) on a relaxed HoTmSi crystal.

Lattice parameters (Å, degrees): 4.7913 4.7913 4.7913 60.00 60.00 60.00
Atoms (fractional coordinates):
Ho (0.2500, 0.2500, 0.2500)
Si (0.0000, 0.0000, 0.0000)
Tm (0.7500, 0.7500, 0.7500)

## Properties
total energy = -5.28 eV per atom
energy relative to the lowest polymorph listed for this composition = 0 meV per atom

***

Question: Number 8 is which compound?
Answer: HoTmSi